Entry 1:
Entry from the Alexandria database: a relaxed BaAlTe2I crystal (GGA-PBE).

a = 5.491 Å, b = 5.491 Å, c = 5.797 Å
α = 90.00°, β = 90.00°, γ = 90.00°
Fractional coordinates of all 5 atoms:
Ba1 0.000 0.000 0.000
Al1 0.500 0.500 0.500
Te1 0.000 0.500 0.500
Te2 0.500 0.000 0.500
I1 0.500 0.500 0.000

Calculated values
As for the energy above the most stable polymorph in this dataset: 0.0 meV/atom. The formation energy (no corrections) comes out at -0.834 eV/atom. The density of states at the Fermi level is 0.2420 states/eV per atom.

Entry 2:
Entry from the Alexandria database: a relaxed TbScZn2Pt2 crystal (GGA-PBE).

a = 4.447 Å, b = 4.447 Å, c = 6.535 Å
α = 90.00°, β = 90.00°, γ = 120.00°
Fractional coordinates of all 6 atoms:
Tb1 0.000 0.000 0.000
Sc1 0.000 0.000 0.500
Zn1 0.333 0.667 0.283
Zn2 0.667 0.333 0.717
Pt1 0.333 0.667 0.725
Pt2 0.667 0.333 0.275

Calculated values
The energy of formation comes out at -888 meV/atom. The density of states at the Fermi level is 0.7645 states/eV per atom.

Entry 3:
Entry from the Alexandria database: a relaxed Na2TlBiSe4 crystal (GGA-PBE).

a = 7.238 Å, b = 4.185 Å, c = 7.524 Å
α = 90.00°, β = 108.88°, γ = 90.00°
Fractional coordinates of all 8 atoms:
Na1 0.000 0.000 0.000
Na2 0.500 0.500 0.000
Tl1 0.000 0.500 0.500
Bi1 0.500 0.000 0.500
Se1 0.237 0.000 0.730
Se2 0.252 0.500 0.260
Se3 0.748 0.500 0.740
Se4 0.763 0.000 0.270

Calculated values
The formation energy (no corrections) comes out at -0.622 eV/atom. The density of states at the Fermi level is 0.2257 states/eV per atom.